BeAgBr | Alexandria | meta-GGA SCAN | PBEsol geometry; density of states at the Fermi level = 0.143 states/eV per atom; M_tot = 0.00 μB/f.u.; uncorrected formation energy = 0.741 eV/atom
1.0
-1.851 2.040 3.483
-0.612 -2.213 3.801
2.461 0.983 3.563
Ag Br Be
1 1 1
Cartesian
0.000 0.202 2.712
-0.001 0.405 5.424
0.000 0.000 0.000

=====

BeAgRhBr2 | Alexandria | meta-GGA SCAN | PBEsol geometry; density of states at the Fermi level = 0.380 states/eV per atom; M_tot = 0.20 μB/f.u.; uncorrected formation energy = 0.417 eV/atom
1.0
4.218 0.000 0.000
0.000 4.678 0.000
0.000 0.000 4.678
Br Rh Be Ag
2 1 1 1
Cartesian
0.000 0.000 2.339
0.000 2.339 0.000
2.109 0.000 0.000
0.000 0.000 0.000
2.109 2.339 2.339

=====

Please write out number 1 again, unchanged.
BeAgBr | Alexandria | meta-GGA SCAN | PBEsol geometry; density of states at the Fermi level = 0.143 states/eV per atom; M_tot = 0.00 μB/f.u.; uncorrected formation energy = 0.741 eV/atom
1.0
-1.851 2.040 3.483
-0.612 -2.213 3.801
2.461 0.983 3.563
Ag Br Be
1 1 1
Cartesian
0.000 0.202 2.712
-0.001 0.405 5.424
0.000 0.000 0.000

=====

Repeat the second record exactly.
BeAgRhBr2 | Alexandria | meta-GGA SCAN | PBEsol geometry; density of states at the Fermi level = 0.380 states/eV per atom; M_tot = 0.20 μB/f.u.; uncorrected formation energy = 0.417 eV/atom
1.0
4.218 0.000 0.000
0.000 4.678 0.000
0.000 0.000 4.678
Br Rh Be Ag
2 1 1 1
Cartesian
0.000 0.000 2.339
0.000 2.339 0.000
2.109 0.000 0.000
0.000 0.000 0.000
2.109 2.339 2.339